No. 1
First-principles (PBEsol) data for a relaxed structure of Dy4CdS7, as listed in Alexandria.

Unit cell a=6.5303 b=6.5303 c=11.4239 alpha=104.75 beta=104.75 gamma=33.67
Fractional positions:
Dy  0.0000  0.0000  0.0000
Dy  0.3863  0.3863  0.6004
Dy  0.5908  0.5908  0.3805
Dy  0.6942  0.6942  0.8124
Cd  0.8196  0.8196  0.2298
S  0.0343  0.0343  0.7548
S  0.2265  0.2265  0.3404
S  0.3557  0.3557  0.8555
S  0.4453  0.4453  0.1576
S  0.6603  0.6603  0.0308
S  0.7360  0.7360  0.5976
S  0.9666  0.9666  0.4560

- calculated density (Mg/m³) = 6.293
- formation energy (no corrections) (eV/atom) = -1.839

***

No. 2
First-principles (PBEsol) data for a relaxed structure of Cs2CaHg2, as listed in Alexandria.

Unit cell a=8.7632 b=8.7632 c=8.7632 alpha=146.88 beta=146.88 gamma=47.54
Fractional positions:
Cs  0.2500  0.7500  0.5000
Cs  0.7500  0.2500  0.5000
Ca  0.0000  0.0000  0.0000
Hg  0.4137  0.4137  0.0000
Hg  0.5863  0.5863  0.0000

- formation energy (eV per atom) = 0.014
- calculated density (Mg/m³) = 5.867
- D(E_F) (states/eV per atom) = 1.070

***

No. 3
First-principles (PBEsol) data for a relaxed structure of Gd2Si4CN6, as listed in Alexandria.

Unit cell a=5.9402 b=9.9471 c=11.9258 alpha=90.00 beta=119.63 gamma=90.00
Fractional positions:
Gd  0.1599  0.0885  0.4210
Gd  0.1599  0.4115  0.9210
Gd  0.1670  0.0622  0.9031
Gd  0.1670  0.4378  0.4031
Gd  0.8330  0.5622  0.5969
Gd  0.8330  0.9378  0.0969
Gd  0.8401  0.5885  0.0790
Gd  0.8401  0.9115  0.5790
Si  0.1759  0.2295  0.6605
Si  0.1759  0.2705  0.1605
Si  0.3036  0.7089  0.8240
Si  0.3036  0.7911  0.3240
Si  0.3368  0.7087  0.5787
Si  0.3368  0.7913  0.0787
Si  0.4913  0.5206  0.2472
Si  0.4913  0.9794  0.7472
Si  0.5087  0.0206  0.2528
Si  0.5087  0.4794  0.7528
Si  0.6632  0.2087  0.9213
Si  0.6632  0.2913  0.4213
Si  0.6964  0.2089  0.6760
Si  0.6964  0.2911  0.1760
Si  0.8241  0.7295  0.8395
Si  0.8241  0.7705  0.3395
C  0.4759  0.7084  0.2439
C  0.4759  0.7916  0.7439
C  0.5241  0.2084  0.2561
C  0.5241  0.2916  0.7561
N  0.0034  0.2060  0.0038
N  0.0034  0.2940  0.5038
N  0.0154  0.2357  0.2463
N  0.0154  0.2643  0.7463
N  0.1966  0.0557  0.6380
N  0.1966  0.4443  0.1380
N  0.2699  0.5372  0.7849
N  0.2699  0.9628  0.2849
N  0.4402  0.5409  0.6029
N  0.4402  0.9591  0.1029
N  0.4675  0.7250  0.9896
N  0.4675  0.7750  0.4896
N  0.5325  0.2250  0.5104
N  0.5325  0.2750  0.0104
N  0.5598  0.0409  0.8971
N  0.5598  0.4591  0.3971
N  0.7301  0.0372  0.7151
N  0.7301  0.4628  0.2151
N  0.8034  0.5557  0.8620
N  0.8034  0.9443  0.3620
N  0.9846  0.7357  0.2537
N  0.9846  0.7643  0.7537
N  0.9966  0.7060  0.4962
N  0.9966  0.7940  0.9962

- calculated density (Mg/m³) = 5.670
- D(E_F) (states/eV per atom) = 0.000
- formation energy (no corrections) (eV/atom) = -1.331

***

No. 4
First-principles (PBEsol) data for a relaxed structure of Ge2BiCl, as listed in Alexandria.

Unit cell a=4.9998 b=4.9998 c=4.9998 alpha=60.00 beta=60.00 gamma=60.00
Fractional positions:
Ge  0.2500  0.2500  0.2500
Ge  0.7500  0.7500  0.7500
Bi  0.0000  0.0000  0.0000
Cl  0.5000  0.5000  0.5000

- calculated density (Mg/m³) = 7.323
- D(E_F) (states/eV per atom) = 0.290
- formation energy (no corrections) (eV/atom) = 0.050